Entry 1:
Density functional theory data (GGA-PBE) for an optimized crystal structure of DySc2Ge2.

The structure in POSCAR format:
```
DySc2Ge2
1.0
3.892 0.000 0.000
0.000 5.020 -0.011
0.000 -1.262 11.513
Sc Ge Dy
4 4 2
direct
0.750 0.747 0.482 Sc
0.250 0.841 0.895 Sc
0.750 0.159 0.105 Sc
0.250 0.253 0.518 Sc
0.750 0.210 0.339 Ge
0.750 0.656 0.039 Ge
0.250 0.790 0.661 Ge
0.250 0.344 0.961 Ge
0.750 0.315 0.757 Dy
0.250 0.685 0.243 Dy
```

Results
- formation enthalpy at 0 K (eV/atom) = -0.564
- raw total energy (eV per atom) = -5.864

Entry 2:
Density functional theory data (GGA-PBE) for an optimized crystal structure of Ba8InAu2N.

The structure in POSCAR format:
```
Ba8InAu2N
1.0
-5.187 -5.440 1.567
-0.707 -1.745 -7.321
7.137 -6.554 0.872
N Ba Au In
1 8 2 1
direct
0.000 0.000 0.000 N
0.278 0.252 0.000 Ba
0.176 0.796 0.204 Ba
0.176 0.796 0.796 Ba
0.666 0.713 0.500 Ba
0.824 0.204 0.796 Ba
0.824 0.204 0.204 Ba
0.334 0.287 0.500 Ba
0.722 0.748 0.000 Ba
0.500 0.500 0.232 Au
0.500 0.500 0.768 Au
0.000 0.000 0.500 In
```

Results
- energy relative to the elements, uncorrected (kJ per mole of atoms) = -34.5
- raw total energy (eV per atom) = -3.108

Entry 3:
Density functional theory data (GGA-PBE) for an optimized crystal structure of CePr4Nd2.

The structure in POSCAR format:
```
CePr4Nd2
1.0
6.362 -0.543 0.103
-5.501 10.044 -1.982
2.121 1.355 7.830
Nd Pr Ce
4 8 2
direct
0.625 0.305 0.496 Nd
0.626 0.445 0.932 Nd
0.625 0.875 0.214 Nd
0.125 0.375 0.714 Nd
0.125 0.804 0.004 Pr
0.121 0.515 0.145 Pr
0.124 0.091 0.862 Pr
0.624 0.020 0.647 Pr
0.125 0.946 0.424 Pr
0.129 0.235 0.284 Pr
0.126 0.659 0.567 Pr
0.625 0.730 0.782 Pr
0.625 0.589 0.358 Ce
0.625 0.161 0.071 Ce
```

Results
- formation enthalpy at 0 K (eV/atom) = 0.053
- raw total energy (eV per atom) = -4.888

Entry 4:
Density functional theory data (GGA-PBE) for an optimized crystal structure of CaTe2P.

The structure in POSCAR format:
```
CaTe2P
1.0
-2.377 -0.142 -4.724
2.112 -4.746 1.033
-3.834 -3.653 0.023
Te Ca P
2 1 1
direct
0.500 0.000 0.500 Te
0.000 0.000 0.000 Te
0.000 0.500 0.500 Ca
0.500 0.500 0.000 P
```

Results
- energy relative to the elements, uncorrected (kJ per mole of atoms) = -45.9
- raw total energy (eV per atom) = -3.899

Entry 5:
Density functional theory data (GGA-PBE) for an optimized crystal structure of LaY2Cl.

The structure in POSCAR format:
```
LaY2Cl
1.0
5.588 0.000 0.000
2.794 4.840 0.000
2.794 1.613 4.563
Y La Cl
2 1 1
direct
0.250 0.250 0.250 Y
0.750 0.750 0.750 Y
0.500 0.500 0.500 La
0.000 0.000 0.000 Cl
```

Results
- energy relative to the lowest polymorph listed for this composition (meV/atom) = 800
- energy relative to the elements, uncorrected (kJ per mole of atoms) = 12.4
- raw total energy (eV per atom) = -4.797

Entry 6:
Density functional theory data (GGA-PBE) for an optimized crystal structure of LiLaSb.

The structure in POSCAR format:
```
LiLaSb
1.0
4.791 0.000 0.000
2.396 4.149 0.000
2.396 1.383 3.912
Li Sb La
1 1 1
direct
0.750 0.750 0.750 Li
0.000 0.000 0.000 Sb
0.500 0.500 0.500 La
```

Results
- energy relative to the lowest polymorph listed for this composition (meV/atom) = 191
- energy relative to the elements, uncorrected (kJ per mole of atoms) = -71.3
- raw total energy (eV per atom) = -4.393